Entry from Alexandria via LeMat-Bulk: Na3Au2 after structural relaxation (GGA-PBE).

Computed properties:
Energy above the lowest structure with this stoichiometry, meV per atom: 93
E_form, eV/atom: -0.190
V, A^3/atom: 27.83

a b c (Å): 6.7922 6.7922 20.8947
angles (deg): 90.00 90.00 120.00
Space group R-3c (No. 167, hexagonal axes)
Asymmetric unit:
1 Na 0.0000 0.3939 0.2500 (multiplicity 18)
2 Au 0.0000 0.0000 0.1830 (multiplicity 12)



Entry from Alexandria via LeMat-Bulk: B2H6Ru after structural relaxation (GGA-PBE).

Computed properties:
Energy above the lowest structure with this stoichiometry, meV per atom: 0
V, A^3/atom: 7.92

a b c (Å): 4.0403 4.0431 5.3857
angles (deg): 73.57 68.48 61.53
Space group P-1 (No. 2)
Asymmetric unit:
1 B 0.0252 0.0535 0.1357 (multiplicity 2)
2 H 0.1703 0.7527 0.2964 (multiplicity 2)
3 H 0.2158 0.2402 0.1251 (multiplicity 2)
4 H 0.3103 0.7666 0.7039 (multiplicity 2)
5 Ru 0.5000 0.5000 0.0000 (multiplicity 1)



Entry from Alexandria via LeMat-Bulk: SrTiTl2S4 after structural relaxation (GGA-PBE).

Computed properties:
Total energy, hartree per atom: -0.1834
V, A^3/atom: 30.82

a b c (Å): 8.3952 9.5668 6.1391
angles (deg): 90.00 90.00 90.00
Space group Pmn2_1 (No. 31)
Asymmetric unit:
1 Sr 0.0000 0.0982 0.0000 (multiplicity 2)
2 Ti 0.0000 0.8158 0.4305 (multiplicity 2)
3 Tl 0.2093 0.3544 0.5255 (multiplicity 4)
4 S 0.0000 0.0508 0.5022 (multiplicity 2)
5 S 0.0000 0.7987 0.0605 (multiplicity 2)
6 S 0.2318 0.7035 0.5200 (multiplicity 4)



Entry from Alexandria via LeMat-Bulk: Pr2NiSe after structural relaxation (GGA-PBE).

Computed properties:
Energy above the lowest structure with this stoichiometry, meV per atom: 64
V, A^3/atom: 26.46

a b c (Å): 4.0889 4.0889 21.9301
angles (deg): 90.00 90.00 120.00
Space group R-3m (No. 166, hexagonal axes)
Asymmetric unit:
1 Pr 0.0000 0.0000 0.2426 (multiplicity 6)
2 Ni 0.0000 0.0000 0.5000 (multiplicity 3)
3 Se 0.0000 0.0000 0.0000 (multiplicity 3)